Entry from Alexandria: a PBEsol-optimized structure of LaTc3B (SCAN).

Results
Energy relative to the elements in eV per atom: 3.1207
Mass density in Mg/m³: 7.259
Crystal system: cubic
D(E_F) in states/eV per atom: 1.14

Unit cell a=4.6646 b=4.6646 c=4.6646 alpha=90.00 beta=90.00 gamma=90.00
With the nearest neighbours (Å) after each atom.
Space group Pm-3m (No. 221)
Unique sites:
La: 0.0000 0.0000 0.0000 [1 per cell]  6 Tc 2.33
Tc: 0.0000 0.0000 0.5000 [3 per cell]  2 La 2.33
B: 0.5000 0.5000 0.5000 [1 per cell]  12 Tc 3.30